# 1
A relaxed structure of CoIrOs, computed with PBE.

The structure belongs to space group Fmm2 (No. 42); the cell edges are 2.729, 4.582 and 13.335 Å and the angles 90.00°, 90.00° and 90.00°. The asymmetric unit holds Co at (0.000, 0.000, 0.000), Ir at (0.000, 0.000, 0.336) and Os at (0.000, 0.000, 0.660).

For the formation enthalpy at 0 K, the calculation gives 0.4476 eV/atom. Its magnetization is 2.450 μB per formula unit.

# 2
A relaxed structure of Y5ZnBi2, computed with PBE.

The structure belongs to space group Cmcm (No. 63); the cell edges are 5.759, 11.773 and 14.203 Å and the angles 90.00°, 90.00° and 90.00°. The asymmetric unit holds Y at (0.000, 0.072, 0.105), Y at (0.000, 0.377, 0.051), Y at (0.000, 0.425, 0.750), Zn at (0.000, 0.285, 0.250) and Bi at (0.000, 0.200, 0.621).

For the formation enthalpy at 0 K, the calculation gives -0.2610 eV/atom. Its magnetization is 0.004 μB per formula unit.

# 3
A relaxed structure of Pm3Sm5Se8, computed with PBE.

The structure belongs to space group R-3m (No. 166, hexagonal axes); the cell edges are 8.3670, 8.3670 and 20.4899 Å and the angles 90.00°, 90.00° and 120.00°. The asymmetric unit holds Pm at (0.0000, 0.5000, 0.0000), Sm at (0.0000, 0.0000, 0.0000), Sm at (0.0000, 0.0000, 0.5000), Sm at (0.0000, 0.5000, 0.5000), Se at (0.0000, 0.0000, 0.2493) and Se at (0.0010, 0.5005, 0.7505).

The value obtained for the uncorrected formation energy is -1.818 eV per atom. Its magnetization is 0.000 μB per formula unit.

# 4
A relaxed structure of CsK2Ba, computed with PBE.

The structure belongs to space group R-3m (No. 166, hexagonal axes); the cell edges are 4.6389, 4.6389 and 51.6067 Å and the angles 90.00°, 90.00° and 120.00°. The asymmetric unit holds Cs at (0.0000, 0.0000, 0.0000), K at (0.0000, 0.0000, 0.4169) and Ba at (0.0000, 0.0000, 0.5000).

For the formation enthalpy at 0 K, the calculation gives 0.1369 eV/atom. Its magnetization is 0.001 μB per formula unit.